[1]
# GGA-PBE Pu5Ta2O12, optimized geometry
# * DOS at the Fermi energy: 2.0242 states/eV/atom
# * energy relative to the elements, uncorrected: -2.917 eV/atom
# * total energy: -11.07 eV per atom
data_Pu5Ta2O12
_cell_length_a 12.8497
_cell_length_b 5.9779
_cell_length_c 7.5202
_cell_angle_alpha 90.00
_cell_angle_beta 107.15
_cell_angle_gamma 90.00
_space_group_name_H-M_alt 'C 1 2/m 1'
_space_group_IT_number 12
_space_group_name_Hall '-C 2y'
loop_
_atom_site_label
_atom_site_type_symbol
_atom_site_fract_x
_atom_site_fract_y
_atom_site_fract_z
Pu1 Pu 0.0000 0.0000 0.0000
Pu2 Pu 0.1911 0.5000 0.3291
Pu3 Pu 0.1965 0.5000 0.8613
Ta1 Ta 0.0000 0.2405 0.5000
O1 O 0.0002 0.0000 0.3080
O2 O 0.0002 0.5000 0.3111
O3 O 0.1553 0.2496 0.0756
O4 O 0.1619 0.2617 0.5816



[2]
# GGA-PBE TlBi2F11, optimized geometry
# * DOS at the Fermi energy: 0.1386 states/eV/atom
# * energy relative to the elements, uncorrected: -1.953 eV/atom
# * total energy: -4.15 eV per atom
data_TlBi2F11
_cell_length_a 8.2058
_cell_length_b 10.3213
_cell_length_c 10.8679
_cell_angle_alpha 90.00
_cell_angle_beta 90.00
_cell_angle_gamma 90.00
_space_group_name_H-M_alt 'I b a m'
_space_group_IT_number 72
_space_group_name_Hall '-I 2 2c'
loop_
_atom_site_label
_atom_site_type_symbol
_atom_site_fract_x
_atom_site_fract_y
_atom_site_fract_z
Tl1 Tl 0.0000 0.0000 0.2500
Bi1 Bi 0.1454 0.3179 0.0000
F1 F 0.0000 0.5000 0.0000
F2 F 0.1003 0.1782 0.1456
F3 F 0.1273 0.2849 0.5000
F4 F 0.2217 0.0692 0.3634



[3]
# GGA-PBE Tb7DyMg2, optimized geometry
# * DOS at the Fermi energy: 1.7193 states/eV/atom
# * total energy: -3.45 eV per atom
# * energy of formation: 0.571 eV per atom
data_Tb7DyMg2
_cell_length_a 8.7643
_cell_length_b 16.3713
_cell_length_c 5.2579
_cell_angle_alpha 90.00
_cell_angle_beta 90.00
_cell_angle_gamma 90.00
_space_group_name_H-M_alt 'C m m m'
_space_group_IT_number 65
_space_group_name_Hall '-C 2 2'
loop_
_atom_site_label
_atom_site_type_symbol
_atom_site_fract_x
_atom_site_fract_y
_atom_site_fract_z
Tb1 Tb 0.0000 0.0000 0.0000
Tb2 Tb 0.0000 0.2898 0.5000
Tb3 Tb 0.1824 0.3871 0.0000
Dy1 Dy 0.0000 0.5000 0.5000
Mg1 Mg 0.0000 0.2014 0.0000



[4]
# GGA-PBE SrCd2BF, optimized geometry
# * DOS at the Fermi energy: 0.7065 states/eV/atom
# * energy relative to the elements, uncorrected: 0.185 eV/atom
# * relative energy among the computed polymorphs: 0.0 meV/atom
# * total energy: -2.23 eV per atom
data_SrCd2BF
_cell_length_a 4.7687
_cell_length_b 4.7687
_cell_length_c 5.2043
_cell_angle_alpha 90.00
_cell_angle_beta 90.00
_cell_angle_gamma 90.00
_space_group_name_H-M_alt 'P 4/m m m'
_space_group_IT_number 123
_space_group_name_Hall '-P 4 2'
loop_
_atom_site_label
_atom_site_type_symbol
_atom_site_fract_x
_atom_site_fract_y
_atom_site_fract_z
Sr1 Sr 0.0000 0.0000 0.0000
Cd1 Cd 0.0000 0.5000 0.5000
B1 B 0.5000 0.5000 0.0000
F1 F 0.5000 0.5000 0.5000



[5]
# GGA-PBE PtAuSe2, optimized geometry
# * DOS at the Fermi energy: 0.3779 states/eV/atom
# * energy relative to the elements, uncorrected: -0.044 eV/atom
# * total energy: -4.12 eV per atom
data_PtAuSe2
_cell_length_a 5.0313
_cell_length_b 3.6178
_cell_length_c 5.5195
_cell_angle_alpha 90.00
_cell_angle_beta 92.41
_cell_angle_gamma 90.00
_space_group_name_H-M_alt 'P 1 2/m 1'
_space_group_IT_number 10
_space_group_name_Hall '-P 2y'
loop_
_atom_site_label
_atom_site_type_symbol
_atom_site_fract_x
_atom_site_fract_y
_atom_site_fract_z
Pt1 Pt 0.0000 0.0000 0.0000
Au1 Au 0.0000 0.0000 0.5000
Se1 Se 0.2673 0.5000 0.8199



[6]
# GGA-PBE ErHRu, optimized geometry
# * DOS at the Fermi energy: 0.3768 states/eV/atom
# * relative energy among the computed polymorphs: 110.3 meV/atom
# * total energy: -5.88 eV per atom
data_ErHRu
_cell_length_a 3.3674
_cell_length_b 3.3674
_cell_length_c 4.3068
_cell_angle_alpha 90.00
_cell_angle_beta 90.00
_cell_angle_gamma 120.00
_space_group_name_H-M_alt 'P 3 m 1'
_space_group_IT_number 156
_space_group_name_Hall 'P 3 -2"'
loop_
_atom_site_label
_atom_site_type_symbol
_atom_site_fract_x
_atom_site_fract_y
_atom_site_fract_z
Er1 Er 0.0000 0.0000 0.0000
H1 H 0.3333 0.6667 0.4986
Ru1 Ru 0.6667 0.3333 0.4999